An optimized crystal structure of Hg3Te2MoF6, computed with GGA+U.

POSCAR file:
```
Hg3Te2MoF6
1.0
7.089 -3.661 0.000
7.089 3.661 0.000
-1.392 0.000 5.175
Hg Te Mo F
3 2 1 6
direct
0.000 0.000 0.000 Hg
0.000 0.500 0.500 Hg
0.500 0.000 0.500 Hg
0.197 0.197 0.117 Te
0.803 0.803 0.883 Te
0.500 0.500 0.500 Mo
0.217 0.625 0.290 F
0.375 0.783 0.710 F
0.404 0.404 0.713 F
0.596 0.596 0.287 F
0.625 0.217 0.290 F
0.783 0.375 0.710 F
```

Results
For the volume, the calculation gives 22.38 Å³/atom. Its total magnetization is 0.167 μB/atom. The space group is No. 12. For the energy, the calculation gives -3.69 eV per atom.